Entry 1:
! SbTe4Ru | Alexandria | PBE | optimized geometry; values from VASP
! - formation energy (no corrections) (meV/atom) = 1081
! - total energy (eV per atom) = -3.247
! - mass density (g cm⁻³) = 7.11
&SYSTEM
  ibrav = 0, nat = 6, ntyp = 3
/
ATOMIC_SPECIES
Sb 121.76 Sb.upf
Te 127.60 Te.upf
Ru 101.07 Ru.upf
ATOMIC_POSITIONS angstrom
Sb 0.000 0.000 0.000
Te 5.504 3.309 3.309
Te 3.309 5.504 3.309
Te 3.309 3.309 5.504
Te 5.504 5.504 5.504
Ru 2.203 2.203 2.203
CELL_PARAMETERS angstrom
0.000 4.407 4.407
4.407 0.000 4.407
4.407 4.407 0.000

Entry 2:
! YTm2Th2 | Alexandria | PBE | optimized geometry; values from VASP
! - energy relative to the lowest polymorph listed for this composition (meV/atom) = 53
! - DFT formation energy (eV/atom) = 0.08
! - total energy (eV per atom) = -5.967
! - mass density (g cm⁻³) = 9.26
&SYSTEM
  ibrav = 0, nat = 20, ntyp = 3
/
ATOMIC_SPECIES
Y 88.91 Y.upf
Tm 168.93 Tm.upf
Th 232.04 Th.upf
ATOMIC_POSITIONS angstrom
Y 0.906 1.392 0.616
Y 2.611 4.176 8.774
Y 4.422 1.392 7.543
Y 6.127 4.176 15.701
Tm 0.853 1.392 7.521
Tm 0.874 4.176 2.497
Tm 2.642 1.392 10.655
Tm 2.663 4.176 15.680
Tm 4.370 1.392 0.637
Tm 4.391 4.176 5.662
Tm 6.158 1.392 13.820
Tm 6.179 4.176 8.796
Th 0.867 4.176 5.683
Th 0.886 4.176 12.262
Th 2.631 1.392 4.104
Th 2.649 1.392 13.842
Th 4.384 4.176 2.475
Th 4.402 4.176 12.213
Th 6.147 1.392 4.055
Th 6.165 1.392 10.634
CELL_PARAMETERS angstrom
7.033 0.000 0.000
0.000 5.568 0.000
0.000 0.000 16.317

Entry 3:
! Nb3GeBi | Alexandria | PBE | optimized geometry; values from VASP
! - energy relative to the lowest polymorph listed for this composition (meV/atom) = 1175
! - DFT formation energy (eV/atom) = 1.95
! - total energy (eV per atom) = -5.795
! - mass density (g cm⁻³) = 6.78
&SYSTEM
  ibrav = 0, nat = 5, ntyp = 3
/
ATOMIC_SPECIES
Nb 92.91 Nb.upf
Ge 72.64 Ge.upf
Bi 208.98 Bi.upf
ATOMIC_POSITIONS angstrom
Nb 0.000 0.000 2.580
Nb 0.000 2.580 0.000
Nb 2.580 0.000 0.000
Ge 2.580 2.580 2.580
Bi 0.000 0.000 0.000
CELL_PARAMETERS angstrom
5.159 0.000 0.000
0.000 5.159 0.000
0.000 0.000 5.159

Entry 4:
! PmDy4Bi2 | Alexandria | PBE | optimized geometry; values from VASP
! - DFT formation energy (eV/atom) = 0.32
! - total energy (eV per atom) = -4.102
! - mass density (g cm⁻³) = 8.35
&SYSTEM
  ibrav = 0, nat = 7, ntyp = 3
/
ATOMIC_SPECIES
Pm 145.00 Pm.upf
Dy 162.50 Dy.upf
Bi 208.98 Bi.upf
ATOMIC_POSITIONS angstrom
Pm 0.000 0.000 0.000
Dy 2.682 0.000 0.000
Dy 0.000 0.000 3.036
Dy 0.000 2.682 0.000
Dy 0.000 0.000 13.723
Bi 0.000 0.000 6.124
Bi 0.000 0.000 10.635
CELL_PARAMETERS angstrom
-2.682 2.682 8.379
2.682 -2.682 8.379
2.682 2.682 -8.379

Entry 5:
! CeTeH | Alexandria | PBE | optimized geometry; values from VASP
! - total energy (eV per atom) = -4.636
! - mass density (g cm⁻³) = 5.46
&SYSTEM
  ibrav = 0, nat = 24, ntyp = 3
/
ATOMIC_SPECIES
Ce 140.12 Ce.upf
Te 127.60 Te.upf
H 1.01 H.upf
ATOMIC_POSITIONS angstrom
Ce 1.470 0.915 0.753
Ce 1.470 4.316 5.068
Ce 5.769 0.915 5.068
Ce 5.769 4.316 0.753
Ce 8.710 0.915 7.876
Ce 8.710 4.316 3.562
Ce 13.009 0.915 3.562
Ce 13.009 4.316 7.876
Te 0.000 1.742 6.472
Te 0.000 3.489 2.157
Te 3.620 0.000 2.929
Te 3.620 0.000 7.243
Te 7.240 1.742 2.157
Te 7.240 3.489 6.472
Te 10.860 0.000 1.386
Te 10.860 0.000 5.701
H 0.000 0.890 2.157
H 0.000 4.341 6.472
H 3.620 0.000 0.757
H 3.620 0.000 5.072
H 7.240 0.890 6.472
H 7.240 4.341 2.157
H 10.860 0.000 3.558
H 10.860 0.000 7.873
CELL_PARAMETERS angstrom
14.479 0.000 0.000
0.000 5.231 0.000
0.000 0.000 8.630

Entry 6:
! Pm6Dy2Tm3Th | Alexandria | PBE | optimized geometry; values from VASP
! - DFT formation energy (eV/atom) = 0.03
! - total energy (eV per atom) = -4.845
! - mass density (g cm⁻³) = 8.21
&SYSTEM
  ibrav = 0, nat = 12, ntyp = 4
/
ATOMIC_SPECIES
Pm 145.00 Pm.upf
Dy 162.50 Dy.upf
Tm 168.93 Tm.upf
Th 232.04 Th.upf
ATOMIC_POSITIONS angstrom
Pm -0.010 1.778 8.768
Pm 1.011 0.000 2.909
Pm -0.010 -1.778 8.768
Pm 4.152 1.778 2.908
Pm 3.131 0.000 8.766
Pm 4.152 -1.778 2.908
Dy 2.071 1.794 5.838
Dy 2.071 -1.794 5.838
Tm 3.110 3.587 0.000
Tm 3.110 0.000 0.000
Tm 3.110 -3.587 0.000
Th -1.039 0.000 5.838
CELL_PARAMETERS angstrom
3.110 -5.384 0.000
3.110 5.384 0.000
-2.079 0.000 11.675

Entry 7:
! Pm2PrAl | Alexandria | PBE | optimized geometry; values from VASP
! - energy relative to the lowest polymorph listed for this composition (meV/atom) = 2
! - DFT formation energy (eV/atom) = -0.16
! - total energy (eV per atom) = -4.671
! - mass density (g cm⁻³) = 6.26
&SYSTEM
  ibrav = 0, nat = 4, ntyp = 3
/
ATOMIC_SPECIES
Pm 145.00 Pm.upf
Pr 140.91 Pr.upf
Al 26.98 Al.upf
ATOMIC_POSITIONS angstrom
Pm 0.000 0.000 1.968
Pm 0.000 0.000 7.397
Pr 1.801 1.801 4.683
Al 1.801 1.801 0.000
CELL_PARAMETERS angstrom
3.601 0.000 0.000
0.000 3.601 0.000
0.000 0.000 9.365

Entry 8:
! BaSr2Zn | Alexandria | PBE | optimized geometry; values from VASP
! - DFT formation energy (eV/atom) = 0.09
! - total energy (eV per atom) = -1.547
! - mass density (g cm⁻³) = 3.61
&SYSTEM
  ibrav = 0, nat = 4, ntyp = 3
/
ATOMIC_SPECIES
Ba 137.33 Ba.upf
Sr 87.62 Sr.upf
Zn 65.41 Zn.upf
ATOMIC_POSITIONS angstrom
Ba 0.000 0.000 0.000
Sr 0.000 2.676 3.030
Sr 2.676 0.000 3.030
Zn 2.676 2.676 0.000
CELL_PARAMETERS angstrom
5.353 0.000 0.000
0.000 5.353 0.000
0.000 0.000 6.060

Number 1: total moment 2.67 μB/f.u.. Number 2: total moment 0.00 μB/f.u.. Number 3: total moment 0.00 μB/f.u.. Number 4: total moment 0.00 μB/f.u.. Number 5: total moment 1.47 μB/f.u.. Number 6: total moment 0.00 μB/f.u.. Number 7: total moment 0.00 μB/f.u.. Number 8: total moment 0.00 μB/f.u..